1.
A relaxed structure of Na4YTa3O12. Source: Alexandria via LeMat-Bulk, functional PBE.

Results
crystal system = cubic
volume = 13.798 A^3/atom
formation energy from raw total energies = -48.26 eV/f.u.
total DFT energy (no corrections) = -0.570 Ry per atom
density = 5.51 g/cm³

a b c (Å): 7.104 7.104 7.104
angles (deg): 109.47 109.47 109.47
Sites, in units of the cell vectors:
Na 0.000 0.000 0.500
Na 0.000 0.500 0.000
Na 0.500 0.000 0.000
Na 0.500 0.500 0.500
Y 0.000 0.000 0.000
Ta 0.000 0.500 0.500
Ta 0.500 0.000 0.500
Ta 0.500 0.500 0.000
O 0.000 0.266 0.266
O 0.000 0.734 0.734
O 0.250 0.500 0.750
O 0.250 0.750 0.500
O 0.266 0.000 0.266
O 0.266 0.266 0.000
O 0.500 0.250 0.750
O 0.500 0.750 0.250
O 0.734 0.000 0.734
O 0.734 0.734 0.000
O 0.750 0.250 0.500
O 0.750 0.500 0.250

2.
A relaxed structure of Na3TaZn2O6. Source: Alexandria via LeMat-Bulk, functional PBE.

Results
crystal system = monoclinic
volume = 11.535 A^3/atom
formation energy from raw total energies = -23.25 eV/f.u.
total DFT energy (no corrections) = -0.437 Ry per atom
density = 5.72 g/cm³

a b c (Å): 5.409 5.409 5.751
angles (deg): 99.06 99.06 119.92
Sites, in units of the cell vectors:
Na 0.000 0.000 0.000
Na 0.326 0.674 0.000
Na 0.674 0.326 0.000
Ta 0.500 0.500 0.500
Zn 0.166 0.834 0.500
Zn 0.834 0.166 0.500
O 0.120 0.431 0.292
O 0.258 0.258 0.707
O 0.431 0.120 0.292
O 0.569 0.880 0.708
O 0.742 0.742 0.293
O 0.880 0.569 0.708

3.
A relaxed structure of Na2TaZn2O6. Source: Alexandria via LeMat-Bulk, functional PBE.

Results
crystal system = trigonal
volume = 12.488 A^3/atom
formation energy from raw total energies = -19.49 eV/f.u.
total DFT energy (no corrections) = -0.443 Ry per atom
density = 5.48 g/cm³

a b c (Å): 5.294 5.294 5.660
angles (deg): 90.00 90.00 120.00
Sites, in units of the cell vectors:
Na 0.333 0.667 0.000
Na 0.667 0.333 0.000
Ta 0.000 0.000 0.500
Zn 0.333 0.667 0.500
Zn 0.667 0.333 0.500
O 0.000 0.319 0.697
O 0.000 0.681 0.303
O 0.319 0.000 0.697
O 0.319 0.319 0.303
O 0.681 0.000 0.303
O 0.681 0.681 0.697

4.
A relaxed structure of Na2TaZnO. Source: Alexandria via LeMat-Bulk, functional PBE.

Results
crystal system = tetragonal
volume = 24.352 A^3/atom
formation energy from raw total energies = 6.23 eV/f.u.
total DFT energy (no corrections) = -0.213 Ry per atom
density = 4.20 g/cm³

a b c (Å): 4.961 4.961 4.947
angles (deg): 90.00 90.00 90.00
Sites, in units of the cell vectors:
Na 0.000 0.500 0.000
Na 0.500 0.000 0.000
Ta 0.000 0.000 0.500
Zn 0.000 0.000 0.000
O 0.500 0.500 0.500

5.
A relaxed structure of NaZrTaO6. Source: Alexandria via LeMat-Bulk, functional PBE.

Results
crystal system = trigonal
volume = 13.737 A^3/atom
formation energy from raw total energies = -20.62 eV/f.u.
total DFT energy (no corrections) = -0.589 Ry per atom
density = 5.25 g/cm³

a b c (Å): 5.509 5.509 4.704
angles (deg): 90.00 90.00 120.00
Sites, in units of the cell vectors:
Na 0.000 0.000 0.000
Zr 0.667 0.333 0.500
Ta 0.333 0.667 0.000
O 0.009 0.403 0.238
O 0.009 0.606 0.762
O 0.394 0.403 0.762
O 0.394 0.991 0.238
O 0.597 0.606 0.238
O 0.597 0.991 0.762

6.
A relaxed structure of Na2ZrTaO6. Source: Alexandria via LeMat-Bulk, functional PBE.

Results
crystal system = monoclinic
volume = 13.116 A^3/atom
formation energy from raw total energies = -24.99 eV/f.u.
total DFT energy (no corrections) = -0.572 Ry per atom
density = 5.24 g/cm³

a b c (Å): 5.665 5.741 9.854
angles (deg): 90.00 125.06 90.00
Sites, in units of the cell vectors:
Na 0.246 0.019 0.250
Na 0.246 0.481 0.750
Na 0.754 0.519 0.250
Na 0.754 0.981 0.750
Zr 0.500 0.000 0.000
Zr 0.500 0.500 0.500
Ta 0.000 0.000 0.500
Ta 0.000 0.500 0.000
O 0.175 0.224 0.966
O 0.175 0.276 0.466
O 0.244 0.710 0.967
O 0.244 0.790 0.467
O 0.308 0.014 0.743
O 0.308 0.486 0.243
O 0.692 0.514 0.757
O 0.692 0.986 0.257
O 0.756 0.210 0.533
O 0.756 0.290 0.033
O 0.825 0.724 0.534
O 0.825 0.776 0.034

7.
A relaxed structure of Na3ZrTa2O9. Source: Alexandria via LeMat-Bulk, functional PBE.

Results
crystal system = trigonal
volume = 13.315 A^3/atom
formation energy from raw total energies = -38.10 eV/f.u.
total DFT energy (no corrections) = -0.583 Ry per atom
density = 5.54 g/cm³

a b c (Å): 5.727 5.727 7.033
angles (deg): 90.00 90.00 120.00
Sites, in units of the cell vectors:
Na 0.000 0.000 0.000
Na 0.333 0.667 0.674
Na 0.667 0.333 0.326
Zr 0.000 0.000 0.500
Ta 0.333 0.667 0.166
Ta 0.667 0.333 0.834
O 0.000 0.500 0.000
O 0.171 0.342 0.325
O 0.171 0.829 0.325
O 0.342 0.171 0.675
O 0.500 0.000 0.000
O 0.500 0.500 0.000
O 0.658 0.829 0.325
O 0.829 0.171 0.675
O 0.829 0.658 0.675

8.
A relaxed structure of NaTbO2. Source: Alexandria via LeMat-Bulk, functional PBE.

Results
crystal system = tetragonal
volume = 14.156 A^3/atom
formation energy from raw total energies = -11.14 eV/f.u.
total DFT energy (no corrections) = -0.496 Ry per atom
density = 6.27 g/cm³

a b c (Å): 4.639 4.639 10.526
angles (deg): 90.00 90.00 90.00
Sites, in units of the cell vectors:
Na 0.000 0.250 0.375
Na 0.000 0.750 0.625
Na 0.500 0.250 0.125
Na 0.500 0.750 0.875
Tb 0.000 0.250 0.875
Tb 0.000 0.750 0.125
Tb 0.500 0.250 0.625
Tb 0.500 0.750 0.375
O 0.000 0.250 0.095
O 0.000 0.250 0.655
O 0.000 0.750 0.345
O 0.000 0.750 0.905
O 0.500 0.250 0.405
O 0.500 0.250 0.845
O 0.500 0.750 0.155
O 0.500 0.750 0.595

9.
A relaxed structure of Na5TbO4. Source: Alexandria via LeMat-Bulk, functional PBE.

Results
crystal system = monoclinic
volume = 14.918 A^3/atom
formation energy from raw total energies = -17.91 eV/f.u.
total DFT energy (no corrections) = -0.360 Ry per atom
density = 3.76 g/cm³

a b c (Å): 7.504 7.504 6.400
angles (deg): 115.16 115.16 27.41
Sites, in units of the cell vectors:
Na 0.000 0.000 0.000
Na 0.326 0.326 0.562
Na 0.327 0.327 0.091
Na 0.673 0.673 0.909
Na 0.674 0.674 0.438
Tb 0.000 0.000 0.500
O 0.185 0.185 0.685
O 0.500 0.500 0.262
O 0.500 0.500 0.738
O 0.815 0.815 0.315

10.
A relaxed structure of Na3TbO3. Source: Alexandria via LeMat-Bulk, functional PBE.

Results
crystal system = orthorhombic
volume = 16.855 A^3/atom
formation energy from raw total energies = -14.15 eV/f.u.
total DFT energy (no corrections) = -0.395 Ry per atom
density = 3.88 g/cm³

a b c (Å): 6.959 6.959 6.959
angles (deg): 121.69 119.55 88.94
Sites, in units of the cell vectors:
Na 0.000 0.218 0.218
Na 0.000 0.782 0.782
Na 0.473 0.223 0.250
Na 0.500 0.218 0.718
Na 0.500 0.782 0.282
Na 0.527 0.777 0.750
Tb 0.029 0.779 0.250
Tb 0.971 0.221 0.750
O 0.220 0.000 0.720
O 0.220 0.500 0.220
O 0.241 0.991 0.250
O 0.759 0.009 0.750
O 0.780 0.000 0.280
O 0.780 0.500 0.780

11.
A relaxed structure of NaTb2O4. Source: Alexandria via LeMat-Bulk, functional PBE.

Results
crystal system = tetragonal
volume = 12.631 A^3/atom
formation energy from raw total energies = -18.91 eV/f.u.
total DFT energy (no corrections) = -0.518 Ry per atom
density = 7.60 g/cm³

a b c (Å): 6.127 6.127 6.127
angles (deg): 110.56 110.56 107.31
Sites, in units of the cell vectors:
Na 0.000 0.000 0.000
Na 0.750 0.250 0.500
Tb 0.234 0.125 0.609
Tb 0.375 0.766 0.891
Tb 0.516 0.625 0.391
Tb 0.875 0.484 0.109
O 0.145 0.400 0.908
O 0.150 0.395 0.408
O 0.258 0.850 0.245
O 0.492 0.237 0.092
O 0.600 0.508 0.745
O 0.605 0.013 0.755
O 0.763 0.855 0.255
O 0.987 0.742 0.592

12.
A relaxed structure of NaTb2O. Source: Alexandria via LeMat-Bulk, functional PBE.

Results
crystal system = trigonal
volume = 25.582 A^3/atom
formation energy from raw total energies = -4.57 eV/f.u.
total DFT energy (no corrections) = -0.369 Ry per atom
density = 5.79 g/cm³

a b c (Å): 3.517 3.517 28.652
angles (deg): 90.00 90.00 120.00
Sites, in units of the cell vectors:
Na 0.000 0.000 0.000
Na 0.333 0.667 0.667
Na 0.667 0.333 0.333
Tb 0.000 0.000 0.120
Tb 0.000 0.000 0.880
Tb 0.333 0.667 0.546
Tb 0.333 0.667 0.787
Tb 0.667 0.333 0.213
Tb 0.667 0.333 0.454
O 0.000 0.000 0.500
O 0.333 0.667 0.167
O 0.667 0.333 0.833

13.
A relaxed structure of NaTbO2. Source: Alexandria via LeMat-Bulk, functional PBE.

Results
crystal system = trigonal
volume = 14.917 A^3/atom
formation energy from raw total energies = -10.82 eV/f.u.
total DFT energy (no corrections) = -0.490 Ry per atom
density = 5.95 g/cm³

a b c (Å): 3.426 3.426 17.606
angles (deg): 90.00 90.00 120.00
Sites, in units of the cell vectors:
Na 0.000 0.000 0.000
Na 0.333 0.667 0.667
Na 0.667 0.333 0.333
Tb 0.000 0.000 0.826
Tb 0.333 0.667 0.493
Tb 0.667 0.333 0.159
O 0.000 0.000 0.226
O 0.000 0.000 0.423
O 0.333 0.667 0.089
O 0.333 0.667 0.893
O 0.667 0.333 0.559
O 0.667 0.333 0.756

14.
A relaxed structure of Na5TbO6. Source: Alexandria via LeMat-Bulk, functional PBE.

Results
crystal system = monoclinic
volume = 14.170 A^3/atom
formation energy from raw total energies = -16.72 eV/f.u.
total DFT energy (no corrections) = -0.353 Ry per atom
density = 3.61 g/cm³

a b c (Å): 5.972 5.972 11.206
angles (deg): 95.08 95.08 120.14
Sites, in units of the cell vectors:
Na 0.000 0.500 0.500
Na 0.083 0.917 0.750
Na 0.146 0.323 0.000
Na 0.250 0.750 0.250
Na 0.323 0.146 0.500
Na 0.500 0.000 0.000
Na 0.677 0.854 0.500
Na 0.750 0.250 0.750
Na 0.854 0.677 0.000
Na 0.917 0.083 0.250
Tb 0.414 0.586 0.750
Tb 0.586 0.414 0.250
O 0.068 0.234 0.631
O 0.146 0.623 0.869
O 0.234 0.068 0.131
O 0.316 0.457 0.366
O 0.377 0.854 0.631
O 0.457 0.316 0.866
O 0.543 0.684 0.134
O 0.623 0.146 0.369
O 0.684 0.543 0.634
O 0.766 0.932 0.869
O 0.854 0.377 0.131
O 0.932 0.766 0.369

15.
A relaxed structure of Na2Tb2TcO6. Source: Alexandria via LeMat-Bulk, functional PBE.

Results
crystal system = monoclinic
volume = 14.936 A^3/atom
formation energy from raw total energies = -25.90 eV/f.u.
total DFT energy (no corrections) = -0.521 Ry per atom
density = 5.64 g/cm³

a b c (Å): 5.777 5.777 5.880
angles (deg): 97.58 97.58 119.80
Sites, in units of the cell vectors:
Na 0.148 0.852 0.000
Na 0.852 0.148 0.000
Tb 0.336 0.664 0.500
Tb 0.664 0.336 0.500
Tc 0.000 0.000 0.500
O 0.044 0.358 0.693
O 0.244 0.244 0.301
O 0.358 0.044 0.693
O 0.642 0.956 0.307
O 0.756 0.756 0.699
O 0.956 0.642 0.307

16.
A relaxed structure of Na3Tb2TcO6. Source: Alexandria via LeMat-Bulk, functional PBE.

Results
crystal system = monoclinic
volume = 13.278 A^3/atom
formation energy from raw total energies = -26.71 eV/f.u.
total DFT energy (no corrections) = -0.490 Ry per atom
density = 6.05 g/cm³

a b c (Å): 5.681 5.681 5.920
angles (deg): 99.26 99.26 118.51
Sites, in units of the cell vectors:
Na 0.000 0.000 0.000
Na 0.341 0.659 0.000
Na 0.659 0.341 0.000
Tb 0.173 0.827 0.500
Tb 0.827 0.173 0.500
Tc 0.500 0.500 0.500
O 0.101 0.419 0.278
O 0.262 0.262 0.702
O 0.419 0.101 0.278
O 0.581 0.899 0.722
O 0.738 0.738 0.298
O 0.899 0.581 0.722

17.
A relaxed structure of NaTbTcO5. Source: Alexandria via LeMat-Bulk, functional PBE.

Results
crystal system = monoclinic
volume = 16.795 A^3/atom
formation energy from raw total energies = -16.39 eV/f.u.
total DFT energy (no corrections) = -0.528 Ry per atom
density = 4.45 g/cm³

a b c (Å): 6.096 6.096 8.049
angles (deg): 102.86 102.86 105.12
Sites, in units of the cell vectors:
Na 0.187 0.813 0.750
Na 0.813 0.187 0.250
Tb 0.500 0.500 0.000
Tb 0.500 0.500 0.500
Tc 0.164 0.836 0.250
Tc 0.836 0.164 0.750
O 0.115 0.215 0.910
O 0.184 0.628 0.374
O 0.215 0.115 0.410
O 0.372 0.816 0.126
O 0.416 0.584 0.750
O 0.584 0.416 0.250
O 0.628 0.184 0.874
O 0.785 0.885 0.590
O 0.816 0.372 0.626
O 0.885 0.785 0.090

18.
A relaxed structure of Na3Tb3TcO8. Source: Alexandria via LeMat-Bulk, functional PBE.

Results
crystal system = trigonal
volume = 14.633 A^3/atom
formation energy from raw total energies = -37.34 eV/f.u.
total DFT energy (no corrections) = -0.516 Ry per atom
density = 5.84 g/cm³

a b c (Å): 6.796 6.796 6.796
angles (deg): 59.53 59.53 59.53
Sites, in units of the cell vectors:
Na 0.000 0.500 0.500
Na 0.500 0.000 0.500
Na 0.500 0.500 0.000
Tb 0.000 0.000 0.500
Tb 0.000 0.500 0.000
Tb 0.500 0.000 0.000
Tc 0.500 0.500 0.500
O 0.237 0.237 0.237
O 0.262 0.718 0.718
O 0.282 0.282 0.738
O 0.282 0.738 0.282
O 0.718 0.262 0.718
O 0.718 0.718 0.262
O 0.738 0.282 0.282
O 0.763 0.763 0.763

19.
A relaxed structure of NaTbTe2O8. Source: Alexandria via LeMat-Bulk, functional PBE.

Results
crystal system = tetragonal
volume = 13.350 A^3/atom
formation energy from raw total energies = -19.24 eV/f.u.
total DFT energy (no corrections) = -0.436 Ry per atom
density = 5.86 g/cm³

a b c (Å): 6.838 6.838 6.838
angles (deg): 134.49 134.49 66.33
Sites, in units of the cell vectors:
Na 0.000 0.000 0.000
Tb 0.250 0.750 0.500
Te 0.500 0.500 0.000
Te 0.750 0.250 0.500
O 0.009 0.088 0.432
O 0.250 0.658 0.085
O 0.342 0.427 0.592
O 0.423 0.991 0.079
O 0.573 0.165 0.915
O 0.656 0.577 0.568
O 0.835 0.750 0.408
O 0.912 0.344 0.921

20.
A relaxed structure of NaTbTe2O6. Source: Alexandria via LeMat-Bulk, functional PBE.

Results
crystal system = monoclinic
volume = 16.803 A^3/atom
formation energy from raw total energies = -18.08 eV/f.u.
total DFT energy (no corrections) = -0.441 Ry per atom
density = 5.27 g/cm³

a b c (Å): 7.365 7.365 6.814
angles (deg): 106.69 106.69 78.16
Sites, in units of the cell vectors:
Na 0.176 0.824 0.750
Na 0.824 0.176 0.250
Tb 0.225 0.775 0.250
Tb 0.775 0.225 0.750
Te 0.162 0.354 0.695
Te 0.354 0.162 0.195
Te 0.646 0.838 0.805
Te 0.838 0.646 0.305
O 0.104 0.165 0.807
O 0.108 0.594 0.419
O 0.165 0.104 0.307
O 0.194 0.564 0.938
O 0.406 0.892 0.081
O 0.436 0.806 0.562
O 0.564 0.194 0.438
O 0.594 0.108 0.919
O 0.806 0.436 0.062
O 0.835 0.896 0.693
O 0.892 0.406 0.581
O 0.896 0.835 0.193